No. 1
Mn4CoTc4 | GGA-PBE | relaxed

a b c (Å): 4.6851 6.4536 4.6851
angles (deg): 68.74 89.95 111.26
With the nearest neighbours (Å) after each atom.
Positions (direct):
Mn1 0.3880 0.1561 0.2319  1 Co 2.23, 2 Mn 2.48
Mn2 0.7681 0.1561 0.6120  1 Co 2.23, 2 Mn 2.48
Mn3 0.2319 0.8439 0.7681  1 Co 2.23, 2 Mn 2.48
Mn4 0.6120 0.8439 0.3880  1 Co 2.23, 2 Mn 2.48
Co1 0.0001 0.0001 0.9999  4 Mn 2.23
Tc1 0.0236 0.6253 0.3983  1 Co 2.50, 5 Mn 2.59-2.76, 5 Tc 2.75-2.80
Tc2 0.6017 0.6253 0.9764  1 Co 2.50, 5 Mn 2.59-2.76, 5 Tc 2.75-2.80
Tc3 0.3982 0.3747 0.6018  1 Co 2.50, 5 Mn 2.59-2.76, 5 Tc 2.75-2.79
Tc4 0.9765 0.3747 0.0235  1 Co 2.50, 5 Mn 2.59-2.76, 5 Tc 2.75-2.79

Results
Its crystal system is tetragonal. The final energy comes out at -82.81 eV per cell. The calculation puts the formation energy at 0.271 eV/atom.

No. 2
BaCrIn2 | GGA-PBE | relaxed

a b c (Å): 5.4700 5.4700 10.4644
angles (deg): 74.85 74.85 90.00
With the nearest neighbours (Å) after each atom.
Positions (direct):
Cr1 0.5000 0.5000 0.0000  4 In 2.82
Cr2 0.2500 0.7500 0.5000  4 In 2.82
Ba1 0.0000 0.0000 0.0000  4 In 3.63, 4 Cr 3.87
Ba2 0.7500 0.2500 0.5000  4 In 3.63, 4 Cr 3.87
In1 0.4499 0.1250 0.2500  2 Cr 2.82, 2 In 2.86
In2 0.3001 0.6250 0.2500  2 Cr 2.82, 2 In 2.86
In3 0.3750 0.5501 0.7500  2 Cr 2.82, 2 In 2.86
In4 0.8750 0.6999 0.7500  2 Cr 2.82, 2 In 2.86

Results
Its crystal system is tetragonal. The final energy comes out at -31.89 eV per cell. The calculation puts the formation energy at 0.269 eV/atom.

No. 3
LaY3Ru | GGA-PBE | relaxed

a b c (Å): 3.8191 6.3454 12.7193
angles (deg): 87.51 90.00 72.51
With the nearest neighbours (Å) after each atom.
Positions (direct):
Y1 0.2246 0.4179 0.1591  2 Ru 2.83
Y2 0.0419 0.7835 0.7871  2 Ru 2.77
Y3 0.3298 0.2075 0.6539  2 Ru 2.81
Y4 0.7703 0.3270 0.8991  2 Ru 2.96-3.11
Y5 0.4875 0.8919 0.2853  2 Ru 3.03, 1 La 3.39
Y6 0.0656 0.7361 0.5280  2 Ru 2.97, 1 Y 3.32
Ru1 0.8907 0.0855 0.1202  2 La 2.73, 4 Y 2.83-3.03
Ru2 0.6638 0.5395 0.6847  7 Y 2.77-2.97
La1 0.7795 0.3081 0.4038  10 Y 3.55-3.78, 2 La 3.82, 2 Ru 3.90-3.91
La2 0.5075 0.8515 0.0204  2 Ru 2.73

Results
Its crystal system is monoclinic. The excess energy over the best structure of this formula in the dataset comes out at 12 meV per atom. The final energy comes out at -68.93 eV per cell. The calculation puts the formation energy at -0.174 eV/atom.

No. 4
Al2TeO | GGA-PBE | relaxed

a b c (Å): 5.1184 5.1184 6.8753
angles (deg): 68.15 68.15 90.00
With the nearest neighbours (Å) after each atom.
Positions (direct):
Te1 0.0000 0.0000 0.0000  4 Al 2.81
Te2 0.7500 0.2500 0.5000  4 Al 2.81
Al1 0.4795 0.1250 0.2500  2 O 2.01
Al2 0.2705 0.6250 0.2500  2 O 2.01
Al3 0.3750 0.5205 0.7500  2 O 2.01
Al4 0.8750 0.7295 0.7500  2 O 2.01
O1 0.5000 0.5000 0.0000  4 Al 2.01
O2 0.2500 0.7500 0.5000  4 Al 2.01

Results
Its crystal system is tetragonal. The excess energy over the best structure of this formula in the dataset comes out at 0 meV per atom. For the formation energy (no corrections), the calculation gives -833 meV/atom. The final energy comes out at -37.83 eV per cell.

No. 5
Nd6Te3P2Se | GGA-PBE | relaxed

a b c (Å): 4.2817 8.8238 9.8075
angles (deg): 105.09 102.61 90.00
With the nearest neighbours (Å) after each atom.
Positions (direct):
Nd1 0.3341 0.8864 0.6682  2 P 2.89, 1 Se 3.06, 1 Te 3.18
Nd2 0.6759 0.5629 0.3518  3 P 2.89-2.92
Nd3 0.6659 0.1136 0.3318  2 P 2.89, 1 Se 3.06, 1 Te 3.18
Nd4 0.0131 0.2429 0.0263  1 P 2.85, 2 Se 2.99, 2 Te 3.18
Nd5 0.9869 0.7571 0.9737  1 P 2.85, 2 Se 2.99, 2 Te 3.18
Nd6 0.3241 0.4371 0.6482  3 P 2.89-2.92
Te1 0.5000 0.5000 0.0000  6 Nd 3.18-3.26
Te2 0.8369 0.1666 0.6737  6 Nd 3.18-3.26
Te3 0.1631 0.8334 0.3263  6 Nd 3.18-3.26
P1 0.8324 0.6659 0.6648  6 Nd 2.85-2.92
P2 0.1676 0.3341 0.3352  6 Nd 2.85-2.92
Se1 0.5000 0.0000 0.0000  6 Nd 2.99-3.06

Results
Its crystal system is monoclinic. For the formation energy (no corrections), the calculation gives -1612 meV/atom. The final energy comes out at -71.68 eV per cell.

No. 6
Tm2TcSn | GGA-PBE | relaxed

a b c (Å): 3.4037 3.4037 10.5164
angles (deg): 80.69 80.69 60.00
With the nearest neighbours (Å) after each atom.
Positions (direct):
Tm1 0.1026 0.1026 0.6922  3 Tc 2.79
Tm2 0.8974 0.8974 0.3078  3 Tc 2.79
Sn1 0.0000 0.0000 0.0000  2 Tm 3.18, 6 Sn 3.40
Tc1 0.5000 0.5000 0.5000  6 Tm 2.79

Results
Its crystal system is trigonal. The excess energy over the best structure of this formula in the dataset comes out at 482 meV per atom. The final energy comes out at -22.86 eV per cell. The calculation puts the formation energy at 0.112 eV/atom.

No. 7
YEr3Hg12 | GGA-PBE | relaxed

a b c (Å): 4.4959 4.4959 19.2006
angles (deg): 90.00 90.00 90.00
With the nearest neighbours (Å) after each atom.
Positions (direct):
Y1 0.0000 0.0000 0.0000  12 Hg 3.18-3.31
Er1 0.0000 0.0000 0.2507  12 Hg 3.18-3.28
Er2 0.0000 0.0000 0.5000  12 Hg 3.18-3.28
Er3 0.0000 0.0000 0.7493  12 Hg 3.18-3.28
Hg1 0.5000 0.5000 0.0000  4 Y 3.18, 8 Hg 3.31
Hg2 0.5000 0.5000 0.2506  4 Er 3.18, 8 Hg 3.28
Hg3 0.5000 0.5000 0.5000  4 Er 3.18, 8 Hg 3.28
Hg4 0.5000 0.5000 0.7494  4 Er 3.18, 8 Hg 3.28
Hg5 0.5000 0.0000 0.1262  8 Hg 3.18-3.31, 2 Er 3.28, 2 Y 3.31
Hg6 0.5000 0.0000 0.3753  8 Hg 3.18-3.28, 4 Er 3.28
Hg7 0.5000 0.0000 0.6247  8 Hg 3.18-3.28, 4 Er 3.28
Hg8 0.5000 0.0000 0.8738  8 Hg 3.18-3.31, 2 Er 3.28, 2 Y 3.31
Hg9 0.0000 0.5000 0.1262  8 Hg 3.18-3.31, 2 Er 3.28, 2 Y 3.31
Hg10 0.0000 0.5000 0.3753  8 Hg 3.18-3.28, 4 Er 3.28
Hg11 0.0000 0.5000 0.6247  8 Hg 3.18-3.28, 4 Er 3.28
Hg12 0.0000 0.5000 0.8738  8 Hg 3.18-3.31, 2 Er 3.28, 2 Y 3.31

Results
Its crystal system is tetragonal. The final energy comes out at -28.64 eV per cell. The calculation puts the formation energy at -0.304 eV/atom.

No. 8
CsNa2SiPt | GGA-PBE | relaxed

a b c (Å): 5.7175 5.7175 4.6231
angles (deg): 90.00 90.00 90.00
With the nearest neighbours (Å) after each atom.
Positions (direct):
Cs1 0.5000 0.5000 0.5000  8 Na 3.68, 4 Si 4.04
Na1 0.0000 0.5000 0.0000  2 Pt 2.86
Na2 0.5000 0.0000 0.0000  2 Pt 2.86
Si1 0.0000 0.0000 0.5000  2 Pt 2.31
Pt1 0.0000 0.0000 0.0000  2 Si 2.31

Results
Its crystal system is tetragonal. For the formation energy (no corrections), the calculation gives -211 meV/atom. The final energy comes out at -16.01 eV per cell.